Entry 1:
Entry from the Alexandria database: a geometry-optimized SrFe3F structure (PBE+U).

abc: 6.365 6.365 6.365
angles: 90.00 90.00 90.00
Fractional coordinates of all 5 atoms:
Sr 0.000 0.000 0.000
Fe 0.000 0.000 0.500
Fe 0.000 0.500 0.000
Fe 0.500 0.000 0.000
F 0.500 0.500 0.500

Computed properties:
Size of the total moment   12.194 μB/cell
Raw total energy   -2.532 eV/atom

Entry 2:
Entry from the Alexandria database: a geometry-optimized SrFe3F structure (PBE+U).

abc: 4.611 4.611 4.611
angles: 90.00 90.00 90.00
Fractional coordinates of all 5 atoms:
Sr 0.000 0.000 0.000
Fe 0.000 0.500 0.500
Fe 0.500 0.000 0.500
Fe 0.500 0.500 0.000
F 0.500 0.500 0.500

Computed properties:
Size of the total moment   9.736 μB/cell
Raw total energy   -3.389 eV/atom

Entry 3:
Entry from the Alexandria database: a geometry-optimized SrFeF5 structure (PBE+U).

abc: 5.825 5.825 7.963
angles: 110.03 110.03 71.49
Fractional coordinates of all 14 atoms:
Sr 0.045 0.955 0.750
Sr 0.955 0.045 0.250
Fe 0.500 0.500 0.000
Fe 0.500 0.500 0.500
F 0.203 0.776 0.027
F 0.224 0.797 0.473
F 0.261 0.296 0.387
F 0.296 0.261 0.887
F 0.434 0.566 0.750
F 0.566 0.434 0.250
F 0.704 0.739 0.113
F 0.739 0.704 0.613
F 0.776 0.203 0.527
F 0.797 0.224 0.973

Computed properties:
Size of the total moment   9.994 μB/cell
Raw total energy   -5.502 eV/atom

Entry 4:
Entry from the Alexandria database: a geometry-optimized SrFeF2 structure (PBE+U).

abc: 4.506 4.506 4.506
angles: 60.00 60.00 60.00
Fractional coordinates of all 4 atoms:
Sr 0.000 0.000 0.000
Fe 0.500 0.500 0.500
F 0.250 0.250 0.250
F 0.750 0.750 0.750

Computed properties:
Size of the total moment   3.754 μB/cell
Raw total energy   -4.561 eV/atom

Entry 5:
Entry from the Alexandria database: a geometry-optimized SrFe2F structure (PBE+U).

abc: 5.032 5.032 5.032
angles: 60.00 60.00 60.00
Fractional coordinates of all 4 atoms:
Sr 0.000 0.000 0.000
Fe 0.250 0.250 0.250
Fe 0.750 0.750 0.750
F 0.500 0.500 0.500

Computed properties:
Size of the total moment   6.905 μB/cell
Raw total energy   -3.311 eV/atom

Entry 6:
Entry from the Alexandria database: a geometry-optimized SrFeTcF2 structure (PBE+U).

abc: 4.455 4.455 7.232
angles: 90.00 90.00 90.00
Fractional coordinates of all 5 atoms:
Sr 0.000 0.000 0.000
Fe 0.500 0.500 0.500
Tc 0.000 0.000 0.500
F 0.000 0.500 0.000
F 0.500 0.000 0.000

Computed properties:
Size of the total moment   7.685 μB/cell
Raw total energy   -4.896 eV/atom